# CaY2Tl2

A geometry-optimized CaY2Tl2 structure (GGA-PBEsol, Alexandria via LeMat-Bulk).

Structure (POSCAR):
```
CaY2Tl2
1.0
4.091 0.000 0.000
0.000 8.321 0.000
0.000 0.000 8.321
Y Tl Ca
4 4 2
direct
0.500 0.170 0.670
0.500 0.670 0.830
0.500 0.830 0.330
0.500 0.330 0.170
0.000 0.370 0.870
0.000 0.870 0.630
0.000 0.630 0.130
0.000 0.130 0.370
0.000 0.000 0.000
0.000 0.500 0.500
```

Volume = 283 Å³/cell
Total magnetization = 0.000 μB per atom
DFT total energy = -4.60 eV per atom
ΔH_f (0 K) = -1.98 eV/f.u.

# Be2BiS

A geometry-optimized Be2BiS structure (GGA-PBEsol, Alexandria via LeMat-Bulk).

Structure (POSCAR):
```
Be2BiS
1.0
-3.809 -1.721 1.664
0.154 -3.537 2.776
-0.986 0.517 4.359
Be S Bi
2 1 1
direct
0.250 0.250 0.250
0.750 0.750 0.750
0.000 0.000 0.000
0.500 0.500 0.500
```

Formation energy (no corrections) = 750 meV per atom
Volume = 64 Å³/cell
Total magnetization = 0.000 μB per atom
DFT total energy = -3.42 eV per atom

# Zn2As2O7

A geometry-optimized Zn2As2O7 structure (GGA-PBEsol, Alexandria via LeMat-Bulk).

Structure (POSCAR):
```
Zn2As2O7
1.0
-0.884 -4.296 -2.006
-1.934 -1.098 4.892
-3.865 2.759 -2.516
Zn As O
2 2 7
direct
0.000 0.694 0.306
0.000 0.306 0.694
0.600 0.759 0.759
0.400 0.241 0.241
0.726 0.412 0.412
0.790 0.932 0.595
0.790 0.595 0.932
0.500 0.000 0.000
0.210 0.405 0.068
0.210 0.068 0.405
0.274 0.588 0.588
```

Formation energy (no corrections) = -1283 meV per atom
Volume = 131 Å³/cell
Total magnetization = 0.000 μB per atom
DFT total energy = -5.84 eV per atom

# LiYIr2

A geometry-optimized LiYIr2 structure (GGA-PBEsol, Alexandria via LeMat-Bulk).

Structure (POSCAR):
```
LiYIr2
1.0
4.030 0.000 0.000
0.000 4.030 0.000
-2.015 -2.015 3.975
Ir Li Y
2 1 1
direct
0.750 0.250 0.500
0.250 0.750 0.500
0.500 0.500 0.000
0.000 0.000 0.000
```

Volume = 65 Å³/cell
Total magnetization = 0.000 μB per atom
DFT total energy = -7.39 eV per atom
ΔH_f (0 K) = -1.12 eV/f.u.